No. 1
# AcPm6Nd2Sm, relaxed, DFT GGA-PBE
# ρ ... 7.1 g cm⁻³
# Formation enthalpy at 0 K ... 1.2 eV per formula unit
data_AcPm6Nd2Sm
_space_group_name_H-M_alt 'P 1'
_space_group_IT_number 1
_cell_length_a 9.131
_cell_length_b 9.131
_cell_length_c 9.870
_cell_angle_alpha 93.20
_cell_angle_beta 93.20
_cell_angle_gamma 118.43
loop_
_space_group_symop_operation_xyz
'x,y,z'
loop_
_atom_site_label
_atom_site_fract_x
_atom_site_fract_y
_atom_site_fract_z
_atom_site_occupancy
Ac1 0.024 0.976 0.750 1
Ac2 0.976 0.024 0.250 1
Pm1 0.020 0.563 0.686 1
Pm2 0.128 0.746 0.055 1
Pm3 0.254 0.872 0.445 1
Pm4 0.291 0.501 0.883 1
Pm5 0.437 0.980 0.814 1
Pm6 0.499 0.709 0.617 1
Pm7 0.501 0.291 0.383 1
Pm8 0.563 0.020 0.186 1
Pm9 0.709 0.499 0.117 1
Pm10 0.746 0.128 0.555 1
Pm11 0.872 0.254 0.945 1
Pm12 0.980 0.437 0.314 1
Nd1 0.195 0.311 0.545 1
Nd2 0.311 0.195 0.045 1
Nd3 0.689 0.805 0.955 1
Nd4 0.805 0.689 0.455 1
Sm1 0.409 0.591 0.250 1
Sm2 0.591 0.409 0.750 1

No. 2
# AcPmNd2Sm2, relaxed, DFT GGA-PBE
# ρ ... 7.4 g cm⁻³
# Formation enthalpy at 0 K ... 0.3 eV per formula unit
data_AcPmNd2Sm2
_space_group_name_H-M_alt 'P 1'
_space_group_IT_number 1
_cell_length_a 7.297
_cell_length_b 5.853
_cell_length_c 10.090
_cell_angle_alpha 90.00
_cell_angle_beta 90.00
_cell_angle_gamma 90.00
loop_
_space_group_symop_operation_xyz
'x,y,z'
loop_
_atom_site_label
_atom_site_fract_x
_atom_site_fract_y
_atom_site_fract_z
_atom_site_occupancy
Ac1 0.000 0.000 0.000 1
Ac2 0.500 0.000 0.000 1
Pm1 0.250 0.500 0.170 1
Pm2 0.750 0.500 0.830 1
Nd1 0.000 0.500 0.500 1
Nd2 0.250 0.000 0.664 1
Nd3 0.500 0.500 0.500 1
Nd4 0.750 0.000 0.336 1
Sm1 0.250 0.000 0.336 1
Sm2 0.250 0.500 0.830 1
Sm3 0.750 0.000 0.664 1
Sm4 0.750 0.500 0.170 1

No. 3
# Ac2PmNdSm4, relaxed, DFT GGA-PBE
# ρ ... 7.4 g cm⁻³
# Formation enthalpy at 0 K ... 3.1 eV per formula unit
data_Ac2PmNdSm4
_space_group_name_H-M_alt 'P 1'
_space_group_IT_number 1
_cell_length_a 9.870
_cell_length_b 9.870
_cell_length_c 9.870
_cell_angle_alpha 137.37
_cell_angle_beta 103.94
_cell_angle_gamma 91.34
loop_
_space_group_symop_operation_xyz
'x,y,z'
loop_
_atom_site_label
_atom_site_fract_x
_atom_site_fract_y
_atom_site_fract_z
_atom_site_occupancy
Ac1 0.000 0.000 0.000 1
Ac2 0.500 0.000 0.000 1
Ac3 0.500 0.000 0.500 1
Ac4 0.500 0.500 0.500 1
Pm1 0.000 0.000 0.500 1
Pm2 0.000 0.500 0.000 1
Nd1 0.000 0.500 0.500 1
Nd2 0.500 0.500 0.000 1
Sm1 0.227 0.742 0.486 1
Sm2 0.240 0.256 0.516 1
Sm3 0.240 0.723 0.984 1
Sm4 0.244 0.258 0.986 1
Sm5 0.756 0.742 0.014 1
Sm6 0.760 0.277 0.016 1
Sm7 0.760 0.744 0.484 1
Sm8 0.773 0.258 0.514 1

No. 4
# AcPm5NdSm2, relaxed, DFT GGA-PBE
# ρ ... 7.2 g cm⁻³
# Formation enthalpy at 0 K ... 2.4 eV per formula unit
data_AcPm5NdSm2
_space_group_name_H-M_alt 'P 1'
_space_group_IT_number 1
_cell_length_a 10.112
_cell_length_b 10.112
_cell_length_c 10.112
_cell_angle_alpha 126.35
_cell_angle_beta 126.35
_cell_angle_gamma 79.31
loop_
_space_group_symop_operation_xyz
'x,y,z'
loop_
_atom_site_label
_atom_site_fract_x
_atom_site_fract_y
_atom_site_fract_z
_atom_site_occupancy
Ac1 0.250 0.750 0.500 1
Ac2 0.750 0.250 0.500 1
Pm1 0.000 0.000 0.000 1
Pm2 0.079 0.579 0.919 1
Pm3 0.160 0.079 0.500 1
Pm4 0.340 0.840 0.919 1
Pm5 0.421 0.340 0.500 1
Pm6 0.500 0.500 0.000 1
Pm7 0.579 0.660 0.500 1
Pm8 0.660 0.160 0.081 1
Pm9 0.840 0.921 0.500 1
Pm10 0.921 0.421 0.081 1
Nd1 0.250 0.250 0.000 1
Nd2 0.750 0.750 0.000 1
Sm1 0.113 0.387 0.500 1
Sm2 0.387 0.887 0.274 1
Sm3 0.613 0.113 0.726 1
Sm4 0.887 0.613 0.500 1